Entry a
Material: OsBr
Method: DFT, meta-GGA SCAN
State: single point on PBEsol structure

a = 2.948 Å, b = 6.509 Å, c = 7.116 Å
α = 70.92°, β = 78.05°, γ = 76.91°
Atoms (fractional coordinates):
Br 0.968 0.174 0.889
Br 0.675 0.640 0.009
Br 0.404 0.687 0.505
Os 0.277 0.292 0.153
Os 0.077 0.323 0.522
Os 0.764 0.051 0.421

Entry b
Material: OsBr
Method: DFT, meta-GGA SCAN
State: single point on PBEsol structure

a = 3.169 Å, b = 3.169 Å, c = 3.170 Å
α = 90.00°, β = 90.00°, γ = 90.00°
Each line ends with the local moment (μB).
Atoms (fractional coordinates):
Os 0.500 0.500 0.500  0.14
Br 0.000 0.000 0.000  0.01

Which of them is the most stable? Correct choice: entry a.

Entry a
Material: OsBr
Method: DFT, meta-GGA SCAN
State: single point on PBEsol structure

a = 3.673 Å, b = 3.673 Å, c = 3.673 Å
α = 60.00°, β = 60.00°, γ = 60.00°
Atoms (fractional coordinates):
Os 0.500 0.500 0.500
Br 0.000 0.000 0.000

Entry b
Material: OsBr
Method: DFT, meta-GGA SCAN
State: single point on PBEsol structure

a = 2.999 Å, b = 3.428 Å, c = 8.904 Å
α = 101.10°, β = 99.70°, γ = 90.00°
Atoms (fractional coordinates):
Os 0.455 0.705 0.910
Os 0.545 0.295 0.090
Br 0.852 0.102 0.704
Br 0.148 0.898 0.296

Which of them is the most stable? Correct choice: entry b.

Entry a
Material: P2OsBr
Method: DFT, meta-GGA SCAN
State: single point on PBEsol structure

a = 2.831 Å, b = 2.831 Å, c = 9.559 Å
α = 90.00°, β = 90.00°, γ = 90.00°
Atoms (fractional coordinates):
Br 0.500 0.500 0.000
Os 0.500 0.500 0.500
P 0.000 0.000 0.659
P 0.000 0.000 0.341

Entry b
Material: P2OsBr
Method: DFT, meta-GGA SCAN
State: single point on PBEsol structure

a = 4.341 Å, b = 4.341 Å, c = 4.341 Å
α = 107.33°, β = 110.55°, γ = 110.55°
Atoms (fractional coordinates):
Br 0.000 0.000 0.000
Os 0.000 0.500 0.500
P 0.500 0.500 0.000
P 0.500 0.000 0.500

Which of them is the most stable? Correct choice: entry a.

Entry a
Material: POsBr
Method: DFT, meta-GGA SCAN
State: single point on PBEsol structure

a = 2.920 Å, b = 3.289 Å, c = 6.299 Å
α = 105.13°, β = 103.40°, γ = 90.00°
Atoms (fractional coordinates):
Br 0.997 0.997 0.995
Os 0.786 0.786 0.573
P 0.216 0.216 0.433

Entry b
Material: POsBr
Method: DFT, meta-GGA SCAN
State: single point on PBEsol structure

a = 3.609 Å, b = 3.609 Å, c = 5.628 Å
α = 90.00°, β = 90.00°, γ = 120.00°
Atoms (fractional coordinates):
Br 0.000 0.000 0.924
Os 0.667 0.333 0.609
P 0.333 0.667 0.468

Which of them is the most stable? Correct choice: entry b.

Entry a
Material: OsPbBr2
Method: DFT, meta-GGA SCAN
State: single point on PBEsol structure

a = 3.416 Å, b = 4.916 Å, c = 4.916 Å
α = 90.00°, β = 90.00°, γ = 90.00°
Atoms (fractional coordinates):
Pb 0.500 0.000 0.000
Os 0.500 0.500 0.500
Br 0.000 0.000 0.500
Br 0.000 0.500 0.000

Entry b
Material: OsPbBr2
Method: DFT, meta-GGA SCAN
State: single point on PBEsol structure

a = 3.277 Å, b = 4.875 Å, c = 5.769 Å
α = 113.03°, β = 90.00°, γ = 90.00°
Each line ends with the local moment (μB).
Atoms (fractional coordinates):
Pb 0.000 0.500 0.500  -0.01
Os 0.500 0.500 0.000  0.49
Br 0.000 0.000 0.000  -0.01
Br 0.500 0.000 0.500  0.00

Which of them is the most stable? Correct choice: entry b.

Entry a
Material: OsPtBr
Method: DFT, meta-GGA SCAN
State: single point on PBEsol structure

a = 2.944 Å, b = 2.944 Å, c = 6.519 Å
α = 90.00°, β = 90.00°, γ = 120.00°
Atoms (fractional coordinates):
Os 0.333 0.667 0.668
Br 0.000 0.000 0.976
Pt 0.667 0.333 0.356

Entry b
Material: OsPtBr
Method: DFT, meta-GGA SCAN
State: single point on PBEsol structure

a = 4.286 Å, b = 4.286 Å, c = 4.286 Å
α = 60.00°, β = 60.00°, γ = 60.00°
Atoms (fractional coordinates):
Os 0.750 0.750 0.750
Br 0.500 0.500 0.500
Pt 0.000 0.000 0.000

Which of them is the most stable? Correct choice: entry a.

Entry a
Material: ReOs2Br
Method: DFT, meta-GGA SCAN
State: single point on PBEsol structure

a = 2.828 Å, b = 4.424 Å, c = 5.121 Å
α = 92.96°, β = 106.03°, γ = 90.00°
Atoms (fractional coordinates):
Re 0.532 0.519 0.064
Os 0.970 0.978 0.940
Os 0.246 0.756 0.492
Br 0.752 0.248 0.504

Entry b
Material: ReOs2Br
Method: DFT, meta-GGA SCAN
State: single point on PBEsol structure

a = 2.866 Å, b = 4.538 Å, c = 5.287 Å
α = 115.41°, β = 105.73°, γ = 90.00°
Atoms (fractional coordinates):
Re 0.487 0.487 0.973
Os 0.015 0.015 0.030
Os 0.245 0.745 0.491
Br 0.753 0.253 0.506

Which of them is the most stable? Correct choice: entry a.

Entry a
Material: ReOs2Br
Method: DFT, meta-GGA SCAN
State: single point on PBEsol structure

a = 2.762 Å, b = 2.766 Å, c = 9.621 Å
α = 90.00°, β = 90.00°, γ = 119.95°
Each line ends with the local moment (μB).
Atoms (fractional coordinates):
Re 0.000 0.000 0.480  0.05
Os 0.000 0.000 0.020  -0.47
Os 0.500 0.000 0.250  -0.27
Br 0.500 0.000 0.750  -0.01

Entry b
Material: ReOs2Br
Method: DFT, meta-GGA SCAN
State: single point on PBEsol structure

a = 2.743 Å, b = 2.743 Å, c = 9.796 Å
α = 90.00°, β = 90.00°, γ = 118.95°
Atoms (fractional coordinates):
Re 0.500 0.500 0.500
Os 0.000 0.000 0.276
Os 0.000 0.000 0.724
Br 0.500 0.500 0.000

Which of them is the most stable? Correct choice: entry b.

Entry a
Material: ReOsBr2
Method: DFT, meta-GGA SCAN
State: single point on PBEsol structure

a = 3.019 Å, b = 3.059 Å, c = 8.608 Å
α = 90.12°, β = 90.00°, γ = 90.00°
Atoms (fractional coordinates):
Re 0.500 0.125 0.711
Os 0.000 0.624 0.543
Br 0.000 0.127 0.946
Br 0.500 0.623 0.301

Entry b
Material: ReOsBr2
Method: DFT, meta-GGA SCAN
State: single point on PBEsol structure

a = 3.012 Å, b = 4.456 Å, c = 5.030 Å
α = 90.00°, β = 93.12°, γ = 90.00°
Each line ends with the local moment (μB).
Atoms (fractional coordinates):
Re 0.000 0.500 0.000  -0.84
Os 0.500 0.500 0.500  -0.13
Br 0.761 0.000 0.749  0.01
Br 0.239 0.000 0.251  0.01

Which of them is the most stable? Correct choice: entry a.

Entry a
Material: OsRhBr2
Method: DFT, meta-GGA SCAN
State: single point on PBEsol structure

a = 4.492 Å, b = 4.492 Å, c = 4.492 Å
α = 60.00°, β = 60.00°, γ = 60.00°
Each line ends with the local moment (μB).
Atoms (fractional coordinates):
Rh 0.500 0.500 0.500  0.74
Os 0.000 0.000 0.000  0.20
Br 0.750 0.750 0.750  0.03
Br 0.250 0.250 0.250  0.03

Entry b
Material: OsRhBr2
Method: DFT, meta-GGA SCAN
State: single point on PBEsol structure

a = 2.887 Å, b = 4.326 Å, c = 5.436 Å
α = 90.00°, β = 90.00°, γ = 90.00°
Atoms (fractional coordinates):
Rh 0.000 0.500 0.500
Os 0.500 0.500 0.000
Br 0.000 0.000 0.000
Br 0.500 0.000 0.500

Which of them is the most stable? Correct choice: entry b.

Entry a
Material: Sb2OsBr
Method: DFT, meta-GGA SCAN
State: single point on PBEsol structure

a = 3.976 Å, b = 3.990 Å, c = 8.345 Å
α = 103.59°, β = 90.00°, γ = 119.88°
Atoms (fractional coordinates):
Sb 0.116 0.231 0.341
Sb 0.884 0.769 0.659
Os 0.500 0.000 0.500
Br 0.000 0.000 0.000

Entry b
Material: Sb2OsBr
Method: DFT, meta-GGA SCAN
State: single point on PBEsol structure

a = 3.261 Å, b = 4.900 Å, c = 5.094 Å
α = 90.00°, β = 90.00°, γ = 90.00°
Atoms (fractional coordinates):
Sb 0.000 0.000 0.000
Sb 0.500 0.000 0.500
Os 0.000 0.500 0.500
Br 0.500 0.500 0.000

Entry c
Material: Sb2OsBr
Method: DFT, meta-GGA SCAN
State: single point on PBEsol structure

a = 3.333 Å, b = 3.333 Å, c = 9.363 Å
α = 79.75°, β = 79.75°, γ = 60.00°
Atoms (fractional coordinates):
Sb 0.984 0.984 0.049
Sb 0.749 0.749 0.752
Os 0.253 0.253 0.242
Br 0.514 0.514 0.457

Which of them is the most stable? Correct choice: entry a.

Entry a
Material: ScOsBr2
Method: DFT, meta-GGA SCAN
State: single point on PBEsol structure

a = 3.254 Å, b = 4.271 Å, c = 7.053 Å
α = 92.08°, β = 103.34°, γ = 90.00°
Atoms (fractional coordinates):
Br 0.153 0.229 0.307
Br 0.847 0.771 0.693
Os 0.000 0.500 0.000
Sc 0.500 0.000 0.000

Entry b
Material: ScOsBr2
Method: DFT, meta-GGA SCAN
State: single point on PBEsol structure

a = 3.484 Å, b = 3.484 Å, c = 7.032 Å
α = 90.00°, β = 90.00°, γ = 90.00°
Atoms (fractional coordinates):
Br 0.000 0.000 0.916
Br 0.500 0.500 0.310
Os 0.000 0.000 0.559
Sc 0.500 0.500 0.714

Which of them is the most stable? Correct choice: entry a.